1.
Compound: Ti6Al2H
Source: Alexandria
Functional: GGA-PBE
Structure: optimized geometry

Symmetry ... No. 14
Energy above the most stable polymorph in this dataset ... 0.1332 eV/atom
M_tot ... 0.000 μB per cell
Calculated density ... 4.13 g/cm³

Cell and atoms, written as extended XYZ:
```
18
Lattice="5.6111 0.0000 0.2272 0.0000 5.3712 0.0000 -0.4066 0.0000 9.1233" Properties=species:S:1:pos:R:3 pbc="T T T"
Ti 3.4123 2.8503 2.3998
Ti 1.9086 4.0735 4.5129
Ti 4.5831 3.7555 4.8559
Ti 1.9809 4.3012 0.1807
Ti 4.5109 3.9832 9.1881
Ti 1.7922 2.5208 6.9507
Ti 0.6937 1.3880 0.1623
Ti 0.6214 1.6157 4.4945
Ti 3.2959 1.2976 4.8376
Ti 3.2237 1.0699 9.1698
Ti 4.8011 0.1648 2.5026
Ti 0.4035 5.2064 6.8479
H -0.2033 0.0000 4.5617
H 2.8056 2.6856 0.1136
Al 2.0821 0.4207 2.4140
Al 3.1225 4.9505 6.9365
Al 0.5202 3.1063 2.2613
Al 4.6843 2.2649 7.0892
```

=====

2.
Compound: Ti8AlH6
Source: Alexandria
Functional: GGA-PBE
Structure: optimized geometry

Symmetry ... No. 162
M_tot ... 0.003 μB per cell
Calculated density ... 4.21 g/cm³

Cell and atoms, written as extended XYZ:
```
15
Lattice="2.8701 0.0000 0.0000 0.0000 8.1272 0.0000 0.0000 -4.0636 7.0383" Properties=species:S:1:pos:R:3 pbc="T T T"
Ti 0.5395 2.7748 4.8054
Ti 2.3306 -2.7742 4.8057
Ti 0.5395 6.8378 2.2327
Ti 0.5395 2.5782 0.0003
Ti 1.4377 4.0636 2.3461
Ti 1.4324 0.0000 4.6922
Ti 2.3306 1.4854 7.0380
Ti 2.3306 1.2888 2.2329
H 2.8668 -1.1014 4.0546
H 0.0033 2.9607 2.9811
H 0.0033 4.0651 1.0735
H 2.8668 -0.0016 5.9649
H 0.0033 5.1649 2.9838
H 2.8668 1.1029 4.0573
Al 1.4351 0.0000 0.0000
```

=====

3.
Compound: Ti5AlH
Source: Alexandria
Functional: GGA-PBE
Structure: optimized geometry

Symmetry ... No. 15
M_tot ... 0.000 μB per cell
Calculated density ... 4.27 g/cm³

Cell and atoms, written as extended XYZ:
```
14
Lattice="5.2888 0.4054 -0.1339 2.0623 4.8870 -0.1339 2.6547 1.9112 8.2085" Properties=species:S:1:pos:R:3 pbc="T T T"
Ti 5.9363 0.9057 1.9182
Ti 8.3503 4.2045 6.8731
Ti 6.5034 3.1324 3.5939
Ti 1.6556 2.9991 1.0676
Ti 3.6447 1.0743 0.2425
Ti 3.5025 4.0712 4.3468
Ti 4.6968 1.5742 5.1719
Ti 5.3091 5.6294 2.7689
Ti 4.0696 6.2979 6.0225
Ti 6.3612 6.1292 7.6982
Al 5.6789 4.0626 6.0225
Al 4.3270 3.1410 1.9182
H 1.3274 0.9556 4.1043
H 0.0000 0.0000 0.0000
```

=====

4.
Compound: TiAl3H
Source: Alexandria
Functional: GGA-PBE
Structure: optimized geometry

Symmetry ... No. 221
Energy above the most stable polymorph in this dataset ... 1.4852 eV/atom
M_tot ... 4.037 μB per cell
Calculated density ... 1.59 g/cm³

Cell and atoms, written as extended XYZ:
```
5
Lattice="-1.6721 2.1637 -4.3547 -3.7897 -3.4653 -0.2666 -3.0468 3.1227 2.7215" Properties=species:S:1:pos:R:3 pbc="T T T"
Al -1.8948 -1.7326 -0.1333
Al -1.5234 1.5613 1.3607
Al -0.8361 1.0818 -2.1773
H -4.2543 0.9106 -0.9499
Ti 0.0000 0.0000 0.0000
```

=====

5.
Compound: TiAlH3
Source: Alexandria
Functional: GGA-PBE
Structure: optimized geometry

Symmetry ... No. 221
Energy above the most stable polymorph in this dataset ... 0.0000 eV/atom
M_tot ... 0.000 μB per cell
Calculated density ... 2.97 g/cm³

Cell and atoms, written as extended XYZ:
```
5
Lattice="-1.5095 -2.2836 -2.2073 -1.4819 -1.6551 2.7258 -2.8090 2.1003 -0.2519" Properties=species:S:1:pos:R:3 pbc="T T T"
Ti 0.0000 0.0000 0.0000
H -1.4045 1.0501 -0.1259
H -0.7409 -0.8276 1.3629
H -0.7547 -1.1418 -1.1036
Al -2.9002 -0.9192 0.1333
```

=====

6.
Compound: Ti2AlVH
Source: Alexandria
Functional: GGA-PBE
Structure: optimized geometry

Symmetry ... No. 123
M_tot ... 0.447 μB per cell
Calculated density ... 4.52 g/cm³

Cell and atoms, written as extended XYZ:
```
5
Lattice="4.1676 0.0000 0.0000 0.0000 4.1676 0.0000 0.0000 0.0000 3.6904" Properties=species:S:1:pos:R:3 pbc="T T T"
H 0.0000 0.0000 0.0000
V 0.0000 0.0000 1.8452
Ti 0.0000 2.0838 0.0000
Ti 2.0838 0.0000 0.0000
Al 2.0838 2.0838 1.8452
```

=====

7.
Compound: YTi2AlH
Source: Alexandria
Functional: GGA-PBE
Structure: optimized geometry

Symmetry ... No. 123
M_tot ... 0.000 μB per cell
Calculated density ... 4.38 g/cm³

Cell and atoms, written as extended XYZ:
```
5
Lattice="-0.6018 -3.8815 -1.6442 3.4875 -1.3914 2.0083 -2.4727 -1.1098 3.5249" Properties=species:S:1:pos:R:3 pbc="T T T"
H 0.0000 0.0000 0.0000
Ti 1.7437 -0.6957 1.0042
Ti -0.3009 -1.9408 -0.8221
Al 0.2065 -3.1914 1.9445
Y -1.2363 -0.5549 1.7625
```

=====

8.
Compound: TiAl2ZnH
Source: Alexandria
Functional: GGA-PBE
Structure: optimized geometry

Symmetry ... No. 123
M_tot ... 0.000 μB per cell
Calculated density ... 4.38 g/cm³

Cell and atoms, written as extended XYZ:
```
5
Lattice="4.0627 0.0000 0.0000 0.0000 4.0627 0.0000 0.0000 0.0000 3.8652" Properties=species:S:1:pos:R:3 pbc="T T T"
Al 0.0000 2.0313 0.0000
Al 2.0313 0.0000 0.0000
Zn 2.0313 2.0313 1.9326
Ti 0.0000 0.0000 1.9326
H 0.0000 0.0000 0.0000
```

=====

9.
Compound: ZrTi2AlH
Source: Alexandria
Functional: GGA-PBE
Structure: optimized geometry

Symmetry ... No. 123
Energy above the most stable polymorph in this dataset ... 0.1462 eV/atom
M_tot ... 0.888 μB per cell
Calculated density ... 4.78 g/cm³

Cell and atoms, written as extended XYZ:
```
5
Lattice="4.0372 0.0000 0.0000 0.0000 4.0372 0.0000 0.0000 0.0000 4.5770" Properties=species:S:1:pos:R:3 pbc="T T T"
Zr 2.0186 2.0186 2.2885
H 0.0000 0.0000 0.0000
Al 0.0000 0.0000 2.2885
Ti 2.0186 0.0000 0.0000
Ti 0.0000 2.0186 0.0000
```

=====

10.
Compound: ZrTi2AlH
Source: Alexandria
Functional: GGA-PBE
Structure: optimized geometry

Symmetry ... No. 123
Energy above the most stable polymorph in this dataset ... 0.0000 eV/atom
M_tot ... 0.000 μB per cell
Calculated density ... 4.85 g/cm³

Cell and atoms, written as extended XYZ:
```
5
Lattice="4.1647 0.0000 0.0000 0.0000 4.1647 0.0000 0.0000 0.0000 4.2468" Properties=species:S:1:pos:R:3 pbc="T T T"
Zr 0.0000 0.0000 2.1234
Ti 0.0000 2.0823 0.0000
Ti 2.0823 0.0000 0.0000
Al 2.0823 2.0823 2.1234
H 0.0000 0.0000 0.0000
```

=====

11.
Compound: ZrTiAl2H
Source: Alexandria
Functional: GGA-PBE
Structure: optimized geometry

Symmetry ... No. 123
M_tot ... 0.000 μB per cell
Calculated density ... 4.43 g/cm³

Cell and atoms, written as extended XYZ:
```
5
Lattice="-4.0591 -0.7366 -1.0003 -0.7433 -1.2985 3.9725 -0.9465 3.7789 1.0581" Properties=species:S:1:pos:R:3 pbc="T T T"
Ti -0.4732 1.8894 0.5290
Zr -2.8744 0.8719 2.0152
Al -0.3716 -0.6492 1.9863
Al -2.0296 -0.3683 -0.5001
H 0.0000 0.0000 0.0000
```

=====

12.
Compound: Zr2TiAlH
Source: Alexandria
Functional: GGA-PBE
Structure: optimized geometry

Symmetry ... No. 123
Energy above the most stable polymorph in this dataset ... 0.8268 eV/atom
M_tot ... 0.000 μB per cell
Calculated density ... 4.70 g/cm³

Cell and atoms, written as extended XYZ:
```
5
Lattice="5.3031 0.0000 0.0000 0.0000 3.2458 0.0000 0.0000 0.0000 5.3031" Properties=species:S:1:pos:R:3 pbc="T T T"
Zr 0.0000 0.0000 2.6516
Zr 2.6516 0.0000 0.0000
Ti 0.0000 0.0000 0.0000
Al 2.6516 1.6229 2.6516
H 0.0000 1.6229 0.0000
```

=====

13.
Compound: Zr2TiAlH
Source: Alexandria
Functional: GGA-PBE
Structure: optimized geometry

Symmetry ... No. 123
Energy above the most stable polymorph in this dataset ... 0.0000 eV/atom
M_tot ... 0.000 μB per cell
Calculated density ... 5.38 g/cm³

Cell and atoms, written as extended XYZ:
```
5
Lattice="4.3704 0.0000 0.0000 0.0000 4.3704 0.0000 0.0000 0.0000 4.1773" Properties=species:S:1:pos:R:3 pbc="T T T"
Zr 2.1852 0.0000 0.0000
Zr 0.0000 2.1852 0.0000
Ti 0.0000 0.0000 2.0887
Al 2.1852 2.1852 2.0887
H 0.0000 0.0000 0.0000
```

=====

Computed energy (eV/atom) in order:
-6.66; -6.09; -6.82; -3.20; -4.32; -6.71; -6.08; -4.13; -6.50; -6.65; -5.74; -5.96; -6.79